[1]
Here is Ce3Hf2ScP6 after structural relaxation from the Alexandria database. Energies are from GGA-PBE.

Cell: 6.7300 6.7300 6.7458 Å, 99.57 99.57 120.01°
Atoms (fractional coordinates):
Ce 0.0000 0.0000 0.0000
Ce 0.3345 0.6655 0.0000
Ce 0.6655 0.3345 0.0000
Hf 0.1670 0.8330 0.5000
Hf 0.8330 0.1670 0.5000
Sc 0.5000 0.5000 0.5000
P 0.0889 0.4240 0.2724
P 0.2403 0.2403 0.7264
P 0.4240 0.0889 0.2724
P 0.5760 0.9111 0.7276
P 0.7597 0.7597 0.2736
P 0.9111 0.5760 0.7276

Output
space group: C2/m
ΔH_f (0 K): -1.45 eV/atom

[2]
Here is CuGe2Br after structural relaxation from the Alexandria database. Energies are from GGA-PBE.

Cell: 4.8074 4.8074 4.8074 Å, 60.00 60.00 60.00°
Atoms (fractional coordinates):
Cu 0.0000 0.0000 0.0000
Ge 0.2500 0.2500 0.2500
Ge 0.7500 0.7500 0.7500
Br 0.5000 0.5000 0.5000

Output
E_form (uncorrected): 562 meV/atom
space group: Fm-3m

[3]
Here is PrHoAlTl after structural relaxation from the Alexandria database. Energies are from GGA-PBE.

Cell: 3.7231 3.7231 7.7285 Å, 90.00 90.00 90.00°
Atoms (fractional coordinates):
Pr 0.0000 0.0000 0.0000
Ho 0.0000 0.0000 0.4724
Al 0.5000 0.5000 0.2504
Tl 0.5000 0.5000 0.7182

Output
space group: P4mm
ΔH_f (0 K): -0.36 eV/atom

[4]
Here is ZnHPd2Pb after structural relaxation from the Alexandria database. Energies are from GGA-PBE.

Cell: 4.0513 4.0513 4.6811 Å, 90.00 90.00 90.00°
Atoms (fractional coordinates):
Zn 0.0000 0.0000 0.0000
H 0.5000 0.5000 0.5000
Pd 0.0000 0.5000 0.5000
Pd 0.5000 0.0000 0.5000
Pb 0.5000 0.5000 0.0000

Output
energy: -3.72 eV/atom
space group: P4/mmm

[5]
Here is GaBiSeBr2 after structural relaxation from the Alexandria database. Energies are from GGA-PBE.

Cell: 5.1315 5.1315 5.1883 Å, 90.00 90.00 90.00°
Atoms (fractional coordinates):
Ga 0.0000 0.0000 0.0000
Bi 0.5000 0.5000 0.5000
Se 0.0000 0.0000 0.5000
Br 0.0000 0.5000 0.0000
Br 0.5000 0.0000 0.0000

Output
E_form (uncorrected): -76 meV/atom
space group: P4/mmm

[6]
Here is URuS4 after structural relaxation from the Alexandria database. Energies are from GGA-PBE.

Cell: 5.6168 3.7994 7.0247 Å, 90.00 108.06 90.00°
Atoms (fractional coordinates):
U 0.0000 0.0000 0.0000
Ru 0.5000 0.5000 0.0000
S 0.2535 0.5000 0.2249
S 0.2923 0.0000 0.7915
S 0.7077 0.0000 0.2085
S 0.7465 0.5000 0.7751

Output
E_form (uncorrected): -930 meV/atom
space group: P2/m

[7]
Here is Nd6Ir2SeS3 after structural relaxation from the Alexandria database. Energies are from GGA-PBE.

Cell: 9.3680 9.3680 8.5177 Å, 104.79 104.79 25.19°
Atoms (fractional coordinates):
Nd 0.0072 0.0072 0.2632
Nd 0.3274 0.3274 0.8953
Nd 0.3308 0.3308 0.4180
Nd 0.6692 0.6692 0.5820
Nd 0.6726 0.6726 0.1047
Nd 0.9928 0.9928 0.7368
Ir 0.1682 0.1682 0.3379
Ir 0.8318 0.8318 0.6621
Se 0.5000 0.5000 0.0000
S 0.1601 0.1601 0.8412
S 0.5000 0.5000 0.5000
S 0.8399 0.8399 0.1588

Output
E_form (uncorrected): -1493 meV/atom
space group: C2/m

[8]
Here is KSmPO4 after structural relaxation from the Alexandria database. Energies are from GGA-PBE.

Cell: 6.5485 6.5485 6.5485 Å, 122.61 117.51 89.96°
Atoms (fractional coordinates):
K 0.5000 0.0000 0.0000
K 0.5000 0.5000 0.5000
Sm 0.0000 0.0000 0.0000
Sm 0.5000 0.0000 0.5000
P 0.1072 0.3572 0.7500
P 0.8928 0.6428 0.2500
O 0.1765 0.7390 0.4375
O 0.1985 0.2610 0.9375
O 0.2077 0.2537 0.5459
O 0.2077 0.6618 0.9541
O 0.7923 0.3382 0.0459
O 0.7923 0.7463 0.4541
O 0.8015 0.7390 0.0625
O 0.8235 0.2610 0.5625

Output
E_form (uncorrected): -2325 meV/atom
space group: Imma

[9]
Here is Pm3PrSm12 after structural relaxation from the Alexandria database. Energies are from GGA-PBE.

Cell: 5.1432 5.1432 20.5609 Å, 90.00 90.00 90.00°
Atoms (fractional coordinates):
Pm 0.0000 0.0000 0.0000
Pm 0.0000 0.0000 0.2496
Pm 0.0000 0.0000 0.7504
Pr 0.0000 0.0000 0.5000
Sm 0.0000 0.5000 0.1248
Sm 0.0000 0.5000 0.3743
Sm 0.0000 0.5000 0.6257
Sm 0.0000 0.5000 0.8752
Sm 0.5000 0.0000 0.1248
Sm 0.5000 0.0000 0.3743
Sm 0.5000 0.0000 0.6257
Sm 0.5000 0.0000 0.8752
Sm 0.5000 0.5000 0.0000
Sm 0.5000 0.5000 0.2494
Sm 0.5000 0.5000 0.5000
Sm 0.5000 0.5000 0.7506

Output
space group: P4/mmm
ΔH_f (0 K): 0.01 eV/atom

[10]
Here is MgOsRh2 after structural relaxation from the Alexandria database. Energies are from GGA-PBE.

Cell: 8.9173 8.9173 8.9173 Å, 18.02 18.02 18.02°
Atoms (fractional coordinates):
Mg 0.0000 0.0000 0.0000
Os 0.5000 0.5000 0.5000
Rh 0.2481 0.2481 0.2481
Rh 0.7519 0.7519 0.7519

Output
space group: R-3m
ΔH_f (0 K): -0.03 eV/atom

[11]
Here is LiAc3Sb3 after structural relaxation from the Alexandria database. Energies are from GGA-PBE.

Cell: 10.8035 10.8035 13.6673 Å, 90.00 90.00 37.14°
Atoms (fractional coordinates):
Li 0.0813 0.0813 0.0000
Li 0.4187 0.4187 0.5000
Li 0.5813 0.5813 0.5000
Li 0.9187 0.9187 0.0000
Ac 0.0502 0.6066 0.3686
Ac 0.1066 0.5502 0.8686
Ac 0.2067 0.7933 0.6398
Ac 0.2933 0.7067 0.1398
Ac 0.3934 0.9498 0.3686
Ac 0.4498 0.8934 0.8686
Ac 0.5502 0.1066 0.1314
Ac 0.6066 0.0502 0.6314
Ac 0.7067 0.2933 0.8602
Ac 0.7933 0.2067 0.3602
Ac 0.8934 0.4498 0.1314
Ac 0.9498 0.3934 0.6314
Sb 0.0645 0.6074 0.1203
Sb 0.1074 0.5645 0.6203
Sb 0.2238 0.7762 0.8844
Sb 0.2762 0.7238 0.3844
Sb 0.3926 0.9355 0.1203
Sb 0.4355 0.8926 0.6203
Sb 0.5645 0.1074 0.3797
Sb 0.6074 0.0645 0.8797
Sb 0.7238 0.2762 0.6156
Sb 0.7762 0.2238 0.1156
Sb 0.8926 0.4355 0.3797
Sb 0.9355 0.3926 0.8797

Output
E_form (uncorrected): -1057 meV/atom
space group: Cmce

[12]
Here is Cr2CoNi after structural relaxation from the Alexandria database. Energies are from GGA-PBE.

Cell: 4.3962 4.3962 2.4559 Å, 90.00 90.00 112.21°
Atoms (fractional coordinates):
Cr 0.0000 0.5000 0.0000
Cr 0.5000 0.0000 0.0000
Co 0.0000 0.0000 0.5000
Ni 0.5000 0.5000 0.5000

Output
space group: Cmmm
ΔH_f (0 K): 0.04 eV/atom